1.
DFT (GGA-PBE) results for a relaxed Tc2PtW crystal.

```
4
Lattice="-1.9673 1.9673 3.8937 1.9673 -1.9673 3.8937 1.9673 1.9673 -3.8937" Properties=species:S:1:pos:R:3 pbc="T T T"
Tc 0.0000 0.0000 0.0000
Tc 0.0000 1.9673 1.9469
Pt 0.0000 0.0000 3.8937
W 1.9673 0.0000 1.9469
```

Offset from the most stable computed form = 0.021 eV per atom
SG = I-4m2, No. 119
Formation energy = -0.1440 eV/atom
Total magnetic moment = 0.00 μB per formula unit
Raw total energy = -40.30 eV per cell

---

2.
DFT (GGA-PBE) results for a relaxed Mg2HgP crystal.

```
4
Lattice="-1.9830 1.9830 5.0530 1.9830 -1.9830 5.0530 1.9830 1.9830 -5.0530" Properties=species:S:1:pos:R:3 pbc="T T T"
Mg 0.0000 0.0000 0.0000
Mg 0.0000 1.9830 2.5265
Hg 0.0000 0.0000 5.0530
P 1.9830 0.0000 2.5265
```

SG = I-4m2, No. 119
Formation energy = -0.1263 eV/atom
Total magnetic moment = 0.00 μB per formula unit
Raw total energy = -9.41 eV per cell

---

3.
DFT (GGA-PBE) results for a relaxed CeNd2Sb3 crystal.

```
6
Lattice="-2.2552 3.1905 6.7835 2.2552 -3.1905 6.7835 2.2552 3.1905 -6.7835" Properties=species:S:1:pos:R:3 pbc="T T T"
Ce 0.0000 0.0000 0.0000
Nd 0.0000 0.0000 4.5167
Nd 0.0000 0.0000 9.0504
Sb 2.2552 0.0000 2.2314
Sb 0.0000 3.1905 0.0000
Sb 0.0000 3.1905 4.5521
```

SG = Immm, No. 71
Total magnetic moment = 0.74 μB per formula unit
Raw total energy = -34.71 eV per cell
Formation energy (no corrections) = -1.15 eV/atom